Computed, not measured: Tm6GeTe3Pb2 after structural relaxation at the GGA-PBE level of DFT.

## Properties
The formation energy from raw total energies is -0.94 eV per atom. The crystal system is monoclinic.

a b c (Å): 4.2939 8.7092 9.6864
angles (deg): 103.04 102.81 90.00
With the nearest neighbours (Å) after each atom.
Fractional coordinates of all 12 atoms:
Tm 0.9981 0.7758 0.9961  2 Ge 2.90, 1 Pb 3.04, 3 Te 3.14-3.23
Tm 0.6554 0.0824 0.3107  1 Ge 2.86, 2 Pb 3.03, 2 Te 3.10
Te 0.5000 0.5000 0.0000  6 Tm 3.08-3.23
Tm 0.6673 0.5768 0.3347  3 Pb 3.02-3.04, 3 Te 3.08-3.10
Tm 0.3446 0.9176 0.6893  1 Ge 2.86, 2 Pb 3.03, 2 Te 3.10
Te 0.8318 0.1657 0.6635  6 Tm 3.10-3.24
Ge 0.5000 0.0000 0.0000  6 Tm 2.86-2.90
Tm 0.0019 0.2242 0.0039  2 Ge 2.90, 1 Pb 3.04, 3 Te 3.14-3.23
Pb 0.8329 0.6679 0.6658  6 Tm 3.02-3.04
Pb 0.1671 0.3321 0.3342  6 Tm 3.02-3.04
Tm 0.3327 0.4232 0.6653  3 Pb 3.02-3.04, 3 Te 3.08-3.10
Te 0.1682 0.8343 0.3365  6 Tm 3.10-3.24

***

Computed, not measured: BAu2C after structural relaxation at the GGA-PBE level of DFT.

## Properties
The crystal system is triclinic. For the energy above the most stable polymorph in this dataset, the calculation gives 0.00 eV/f.u. The calculated formation energy comes out at 0.292 eV per atom.

a b c (Å): 2.8188 2.8221 7.5911
angles (deg): 78.07 90.05 60.04
With the nearest neighbours (Å) after each atom.
Fractional coordinates of all 4 atoms:
B 0.5994 0.8846 0.5590  3 C 1.63
C 0.9328 0.2180 0.5592  3 B 1.63
Au 0.7998 0.4714 0.2308  1 C 2.42
Au 0.0749 0.9228 0.8871  1 C 2.42

***

Computed, not measured: TaMnSi2 after structural relaxation at the GGA-PBE level of DFT.

## Properties
The formation energy from raw total energies is -0.22 eV per atom. The crystal system is orthorhombic.

a b c (Å): 4.9365 4.9365 4.9365
angles (deg): 136.87 136.05 63.27
With the nearest neighbours (Å) after each atom.
Fractional coordinates of all 4 atoms:
Si 0.0069 0.0069 0.0000  4 Ta 2.59, 4 Mn 2.71-2.87, 4 Si 2.75-2.82
Mn 0.2458 0.7458 0.5000  8 Si 2.59-2.87, 4 Ta 2.79
Si 0.7499 0.2499 0.5000  4 Mn 2.59, 4 Si 2.75-2.82, 4 Ta 2.78-2.79
Ta 0.4975 0.4975 0.0000  8 Si 2.59-2.79, 4 Mn 2.79

***

Computed, not measured: Hf2Ga5Ni3 after structural relaxation at the GGA-PBE level of DFT.

## Properties
The crystal system is orthorhombic. The calculated formation energy comes out at -0.499 eV per atom.

a b c (Å): 4.0130 6.4102 11.9603
angles (deg): 90.00 99.66 90.00
With the nearest neighbours (Å) after each atom.
Fractional coordinates of all 20 atoms:
Ga 0.2932 0.9238 0.5864  4 Ni 2.43-2.47, 1 Ga 2.67
Ni 0.0481 0.9759 0.0963  5 Ga 2.39-2.49
Ga 0.7108 0.0083 0.4216  3 Ni 2.42-2.43, 1 Ga 2.67
Ga 0.9496 0.0873 0.8992  4 Ni 2.43-2.49, 1 Ga 2.71
Hf 0.1720 0.7212 0.3439  4 Ni 2.84-3.16, 9 Ga 2.87-3.14
Ga 0.4006 0.4040 0.8012  3 Ni 2.39-2.48
Ni 0.9519 0.4759 0.9037  5 Ga 2.39-2.49
Ni 0.3928 0.0187 0.7856  6 Ga 2.43-2.65, 1 Hf 2.64
Ga 0.0504 0.5873 0.1008  4 Ni 2.43-2.49, 1 Ga 2.71
Ga 0.8792 0.7541 0.7584  4 Ni 2.46-2.65, 1 Ga 2.71
Ga 0.2892 0.5083 0.5784  3 Ni 2.42-2.43, 1 Ga 2.67
Hf 0.5205 0.2582 0.0409  5 Ni 2.64-2.93, 3 Ga 2.83-2.94
Ni 0.2244 0.2134 0.4487  7 Ga 2.42-2.47
Ga 0.5994 0.9040 0.1988  3 Ni 2.39-2.48
Ni 0.6072 0.5187 0.2144  6 Ga 2.43-2.65, 1 Hf 2.64
Ni 0.7756 0.7134 0.5513  7 Ga 2.42-2.47
Ga 0.1208 0.2541 0.2416  4 Ni 2.46-2.65, 1 Ga 2.71
Ga 0.7068 0.4238 0.4136  4 Ni 2.43-2.47, 1 Ga 2.67
Hf 0.8280 0.2212 0.6561  4 Ni 2.84-3.16, 9 Ga 2.87-3.14
Hf 0.4795 0.7582 0.9591  5 Ni 2.64-2.93, 3 Ga 2.83-2.94

***

Computed, not measured: Np2URhS4 after structural relaxation at the GGA-PBE level of DFT.

## Properties
The formation energy from raw total energies is -1.05 eV per atom. The crystal system is tetragonal.

a b c (Å): 6.6304 5.7956 5.7956
angles (deg): 70.90 55.11 55.11
With the nearest neighbours (Å) after each atom.
Fractional coordinates of all 8 atoms:
S 0.9086 0.0000 0.5917  1 Rh 2.37
S 0.4997 0.5917 0.0000  1 Rh 2.37
Rh 0.5000 0.0000 0.0000  4 S 2.37
S 0.0914 0.4083 0.0000  1 Rh 2.37
S 0.5003 0.0000 0.4083  1 Rh 2.37
U 0.0000 0.0000 0.0000  4 S 2.76
Np 0.5000 0.5000 0.5000  4 S 2.77
Np 0.0000 0.5000 0.5000  4 S 2.77

***

Computed, not measured: LaBeTl2Se after structural relaxation at the GGA-PBE level of DFT.

## Properties
The formation energy from raw total energies is 0.12 eV per atom. The crystal system is tetragonal.

a b c (Å): 6.1748 3.9577 6.1748
angles (deg): 90.00 90.00 90.00
With the nearest neighbours (Å) after each atom.
Fractional coordinates of all 5 atoms:
Se 0.0000 0.0000 0.0000  2 Be 1.98
Be 0.0000 0.5000 0.0000  2 Se 1.98
Tl 0.5000 0.0000 0.0000  2 Se 3.09
Tl 0.0000 0.0000 0.5000  2 Se 3.09
La 0.5000 0.5000 0.5000  8 Tl 3.67, 2 La 3.96

***

Computed, not measured: Pa2Zn3Cu2 after structural relaxation at the GGA-PBE level of DFT.

## Properties
The crystal system is monoclinic. For the energy above the most stable polymorph in this dataset, the calculation gives 0.00 eV/f.u. The calculated formation energy comes out at 0.016 eV per atom.

a b c (Å): 4.3206 5.3228 6.2702
angles (deg): 101.08 90.00 113.94
With the nearest neighbours (Å) after each atom.
Fractional coordinates of all 7 atoms:
Pa 0.4027 0.8054 0.6335  1 Pa 2.78, 5 Cu 2.87-2.97
Cu 0.8837 0.7675 0.3153  3 Zn 2.48-2.57
Zn 0.2729 0.5458 0.1331  2 Cu 2.57, 3 Zn 2.61-2.71
Zn 0.0000 0.0000 0.0000  2 Cu 2.48, 2 Zn 2.61
Cu 0.1163 0.2325 0.6847  3 Zn 2.48-2.57
Pa 0.5973 0.1946 0.3665  1 Pa 2.78, 5 Cu 2.87-2.97
Zn 0.7271 0.4542 0.8669  2 Cu 2.57, 3 Zn 2.61-2.71

***

Computed, not measured: Li2AgF5 after structural relaxation at the GGA-PBE level of DFT.

## Properties
The formation energy from raw total energies is -1.97 eV per atom. The crystal system is monoclinic. For the energy above the most stable polymorph in this dataset, the calculation gives 0.00 eV/f.u.

a b c (Å): 5.2277 8.3480 10.0785
angles (deg): 68.74 90.00 90.00
With the nearest neighbours (Å) after each atom.
Fractional coordinates of all 32 atoms:
F 0.7939 0.5046 0.8322  2 Li 1.99-2.00, 1 Ag 1.99
F 0.8581 0.9565 0.1947  1 Li 1.96, 1 Ag 2.00
F 0.2080 0.2696 0.4864  2 Li 1.89-1.91
Li 0.9599 0.1431 0.6233  4 F 1.91-2.09
F 0.2939 0.4954 0.6678  2 Li 1.99-2.00, 1 Ag 1.99
F 0.2875 0.6743 0.3597  1 Ag 1.96, 1 Li 2.05
Li 0.0105 0.6531 0.6733  4 F 1.89-2.00
F 0.7875 0.3257 0.1403  1 Ag 1.96, 1 Li 2.05
Ag 0.5000 0.5000 0.5000  4 F 1.96-1.99
F 0.7080 0.7304 0.0136  2 Li 1.89-1.91
Li 0.4599 0.8569 0.8767  4 F 1.91-2.09
F 0.1804 0.8718 0.5660  2 Li 1.96-2.09, 1 Ag 1.97
F 0.3581 0.0435 0.3053  1 Li 1.96, 1 Ag 2.00
Li 0.9895 0.3469 0.3267  4 F 1.89-2.00
F 0.8196 0.1282 0.4340  2 Li 1.96-2.09, 1 Ag 1.97
Li 0.4895 0.6531 0.1733  4 F 1.89-2.00
F 0.7920 0.7304 0.5136  2 Li 1.89-1.91
Li 0.5401 0.1431 0.1233  4 F 1.91-2.09
F 0.2061 0.4954 0.1678  2 Li 1.99-2.00, 1 Ag 1.99
F 0.6419 0.9565 0.6947  1 Li 1.96, 1 Ag 2.00
F 0.3196 0.8718 0.0660  2 Li 1.96-2.09, 1 Ag 1.97
F 0.7061 0.5046 0.3322  2 Li 1.99-2.00, 1 Ag 1.99
Ag 0.0000 0.5000 0.0000  4 F 1.96-1.99
F 0.6804 0.1282 0.9340  2 Li 1.96-2.09, 1 Ag 1.97
Li 0.5105 0.3469 0.8267  4 F 1.89-2.00
Ag 0.5000 0.0000 0.5000  4 F 1.97-2.00
F 0.2920 0.2696 0.9864  2 Li 1.89-1.91
Li 0.0401 0.8569 0.3767  4 F 1.91-2.09
F 0.7125 0.3257 0.6403  1 Ag 1.96, 1 Li 2.05
F 0.2125 0.6743 0.8597  1 Ag 1.96, 1 Li 2.05
F 0.1419 0.0435 0.8053  1 Li 1.96, 1 Ag 2.00
Ag 0.0000 0.0000 0.0000  4 F 1.97-2.00

***

Computed, not measured: KHgB2Rh after structural relaxation at the GGA-PBE level of DFT.

## Properties
The crystal system is tetragonal. The calculated formation energy comes out at 2.765 eV per atom.

a b c (Å): 4.8715 4.9257 4.8715
angles (deg): 90.00 90.00 90.00
With the nearest neighbours (Å) after each atom.
Fractional coordinates of all 5 atoms:
K 0.0000 0.0000 0.0000  4 B 2.44, 2 Rh 2.46
B 0.0000 0.0000 0.5000  2 K 2.44
Rh 0.0000 0.5000 0.0000  2 K 2.46
B 0.5000 0.0000 0.0000  2 K 2.44
Hg 0.5000 0.5000 0.5000  4 Rh 3.44, 8 B 3.46

***

Computed, not measured: Ce12ErGa6 after structural relaxation at the GGA-PBE level of DFT.

## Properties
The crystal system is trigonal. The calculated formation energy comes out at -0.121 eV per atom.

a b c (Å): 8.2984 8.2984 8.2984
angles (deg): 103.30 103.30 103.30
With the nearest neighbours (Å) after each atom.
Fractional coordinates of all 19 atoms:
Ga 0.2877 0.7237 0.7237  8 Ce 2.96-3.23
Ce 0.5974 0.5974 0.8681  4 Ga 3.07-3.23, 2 Ce 3.17
Ga 0.2763 0.7123 0.2763  8 Ce 2.96-3.23
Ce 0.1319 0.4026 0.4026  4 Ga 3.07-3.23, 2 Ce 3.17
Ce 0.1034 0.5000 0.8966  1 Ce 2.69, 2 Ga 2.96
Ce 0.8681 0.5974 0.5974  4 Ga 3.07-3.23, 2 Ce 3.17
Ga 0.7237 0.7237 0.2877  8 Ce 2.96-3.23
Ce 0.5000 0.1034 0.8966  1 Ce 2.69, 2 Ga 2.96
Ce 0.5000 0.8966 0.1034  1 Ce 2.69, 2 Ga 2.96
Ga 0.7237 0.2877 0.7237  8 Ce 2.96-3.23
Ce 0.8966 0.1034 0.5000  1 Ce 2.69, 2 Ga 2.96
Ce 0.4026 0.4026 0.1319  4 Ga 3.07-3.23, 2 Ce 3.17
Ce 0.5974 0.8681 0.5974  4 Ga 3.07-3.23, 2 Ce 3.17
Ga 0.2763 0.2763 0.7123  8 Ce 2.96-3.23
Ce 0.4026 0.1319 0.4026  4 Ga 3.07-3.23, 2 Ce 3.17
Er 0.0000 0.0000 0.0000  6 Ce 3.88, 6 Ga 4.34
Ce 0.8966 0.5000 0.1034  1 Ce 2.69, 2 Ga 2.96
Ga 0.7123 0.2763 0.2763  8 Ce 2.96-3.23
Ce 0.1034 0.8966 0.5000  1 Ce 2.69, 2 Ga 2.96

***

Computed, not measured: K2ScTa after structural relaxation at the GGA-PBE level of DFT.

## Properties
The crystal system is cubic. For the energy above the most stable polymorph in this dataset, the calculation gives 3.03 eV/f.u. The calculated formation energy comes out at 1.411 eV per atom.

a b c (Å): 5.6608 5.6608 5.6608
angles (deg): 120.01 120.01 89.98
With the nearest neighbours (Å) after each atom.
Fractional coordinates of all 4 atoms:
Sc 0.5000 0.5000 0.0000  4 Ta 3.47, 4 K 3.47
K 0.0000 0.0000 0.0000  4 Ta 3.47, 4 K 3.47
K 0.2500 0.7500 0.5000  4 K 3.47, 4 Sc 3.47
Ta 0.7500 0.2500 0.5000  4 K 3.47, 4 Sc 3.47

***

Computed, not measured: CoCuS2Cl after structural relaxation at the GGA-PBE level of DFT.

## Properties
The formation energy from raw total energies is 0.74 eV per atom. The crystal system is tetragonal. For the energy above the most stable polymorph in this dataset, the calculation gives 1.56 eV/f.u.

a b c (Å): 4.4824 4.4824 4.8236
angles (deg): 90.00 90.00 90.00
With the nearest neighbours (Å) after each atom.
Fractional coordinates of all 5 atoms:
S 0.5000 0.0000 0.0000  2 Cu 2.24
Co 0.5000 0.5000 0.5000  4 Cl 3.17, 8 S 3.29
S 0.0000 0.5000 0.0000  2 Cu 2.24
Cl 0.0000 0.0000 0.5000  2 Cu 2.41
Cu 0.0000 0.0000 0.0000  4 S 2.24, 2 Cl 2.41

***

Uncorrected energy across the listed records, respectively: -59.58; -21.29; -32.74; -114.76; -69.40; -16.27; -30.89; -127.33; -8.28; -96.23; -14.73; -17.62 eV for the cell shown.